No. 1
# BaBiBO4 | Alexandria via LeMat-Bulk | GGA-PBEsol | relaxed
data_BaBiBO4
_chemical_formula_sum 'Ba4 Bi4 B4 O16'
_cell_length_a 8.5424
_cell_length_b 5.1337
_cell_length_c 9.6807
_cell_angle_alpha 90.00
_cell_angle_beta 90.00
_cell_angle_gamma 90.00
_space_group_name_H-M_alt 'P n m a'
_space_group_IT_number 62
_space_group_name_Hall '-P 2ac 2n'
loop_
_atom_site_label
_atom_site_type_symbol
_atom_site_fract_x
_atom_site_fract_y
_atom_site_fract_z
Ba1 Ba 0.0069 0.2500 0.1827
Bi1 Bi 0.1905 0.2500 0.5627
B1 B 0.1995 0.7500 0.4409
O1 O 0.0731 0.7500 0.0864
O2 O 0.1847 0.7500 0.5845
O3 O 0.2059 0.5125 0.3746
# - raw formation energy (eV/atom) = -2.224


No. 2
# SrMnSN2 | Alexandria via LeMat-Bulk | GGA-PBEsol | relaxed
data_SrMnSN2
_chemical_formula_sum 'Sr1 Mn1 S1 N2'
_cell_length_a 4.5601
_cell_length_b 4.5601
_cell_length_c 5.7006
_cell_angle_alpha 90.00
_cell_angle_beta 90.00
_cell_angle_gamma 90.00
_space_group_name_H-M_alt 'P 4/m m m'
_space_group_IT_number 123
_space_group_name_Hall '-P 4 2'
loop_
_atom_site_label
_atom_site_type_symbol
_atom_site_fract_x
_atom_site_fract_y
_atom_site_fract_z
Sr1 Sr 0.0000 0.0000 0.0000
Mn1 Mn 0.5000 0.5000 0.5000
S1 S 0.0000 0.0000 0.5000
N1 N 0.0000 0.5000 0.0000
# - raw formation energy (eV/atom) = 1.669


No. 3
# RePRhCl2 | Alexandria via LeMat-Bulk | GGA-PBEsol | relaxed
data_RePRhCl2
_chemical_formula_sum 'Re1 P1 Rh1 Cl2'
_cell_length_a 4.6125
_cell_length_b 4.6125
_cell_length_c 4.6295
_cell_angle_alpha 90.00
_cell_angle_beta 90.00
_cell_angle_gamma 90.00
_space_group_name_H-M_alt 'P 4/m m m'
_space_group_IT_number 123
_space_group_name_Hall '-P 4 2'
loop_
_atom_site_label
_atom_site_type_symbol
_atom_site_fract_x
_atom_site_fract_y
_atom_site_fract_z
Re1 Re 0.0000 0.0000 0.0000
P1 P 0.0000 0.0000 0.5000
Rh1 Rh 0.5000 0.5000 0.5000
Cl1 Cl 0.0000 0.5000 0.0000
# - raw formation energy (eV/atom) = 1.029
# - polymorph energy (0 for the lowest one) (meV/atom) = 0.0


Please write out number 3 again, unchanged.
# RePRhCl2 | Alexandria via LeMat-Bulk | GGA-PBEsol | relaxed
data_RePRhCl2
_chemical_formula_sum 'Re1 P1 Rh1 Cl2'
_cell_length_a 4.6125
_cell_length_b 4.6125
_cell_length_c 4.6295
_cell_angle_alpha 90.00
_cell_angle_beta 90.00
_cell_angle_gamma 90.00
_space_group_name_H-M_alt 'P 4/m m m'
_space_group_IT_number 123
_space_group_name_Hall '-P 4 2'
loop_
_atom_site_label
_atom_site_type_symbol
_atom_site_fract_x
_atom_site_fract_y
_atom_site_fract_z
Re1 Re 0.0000 0.0000 0.0000
P1 P 0.0000 0.0000 0.5000
Rh1 Rh 0.5000 0.5000 0.5000
Cl1 Cl 0.0000 0.5000 0.0000
# - raw formation energy (eV/atom) = 1.029
# - polymorph energy (0 for the lowest one) (meV/atom) = 0.0


What is the raw formation energy in the first record? -2.224 eV/atom